Below is a relaxed structure of TbMnO3, with properties calculated at the GGA+U level.

Cell and atoms, written as POSCAR:
```
TbMnO3
1.0
-0.457 2.958 -1.521
0.399 -2.715 -5.401
-12.870 -1.968 0.037
Tb Mn O
4 4 12
Cartesian
-3.273 -0.228 -5.027
-3.471 1.122 -2.323
-9.655 -1.498 -1.857
-9.456 -2.848 -4.561
-0.029 0.121 -3.461
-6.435 -0.984 0.019
-6.464 -0.863 -3.442
0.000 0.000 0.000
-2.943 -2.395 -5.590
-3.147 -1.008 -2.905
-9.984 0.670 -1.294
-9.780 -0.718 -3.979
-1.082 0.476 -5.087
-5.677 0.524 -2.053
-7.354 -1.515 -1.811
-11.741 -2.936 -4.819
-11.845 -2.202 -1.798
-7.250 -2.250 -4.832
-5.573 -0.210 -5.074
-1.186 1.211 -2.066
```

## Properties
E   -7.699 eV per atom